This record from the Open Quantum Materials Database describes a relaxed Pr2GdMg3Ag3 crystal. The functional is PBE.

Its total DFT energy (no corrections) is -3.31 eV per atom. The crystal system is orthorhombic. The calculation puts the calculated volume at 224.7 Å³/f.u. Its space group is No. 38.

a = 4.299 Å, b = 7.776 Å, c = 7.776 Å
α = 120.17°, β = 90.00°, γ = 90.00°
Fractional coordinates of all 9 atoms:
Pr: 0.000 0.208 0.792
Pr: 0.000 0.792 0.208
Gd: 0.000 0.376 0.376
Mg: 0.500 0.035 0.035
Mg: 0.500 0.551 0.787
Mg: 0.500 0.787 0.551
Ag: 0.000 0.786 0.786
Ag: 0.500 0.131 0.456
Ag: 0.500 0.456 0.131



This record from the Open Quantum Materials Database describes a relaxed Gd2Mg4AgPt crystal. The functional is PBE.

Its total DFT energy (no corrections) is -2.84 eV per atom. The crystal system is orthorhombic. The calculation puts the calculated volume at 273.3 Å³/f.u. Its space group is No. 38.

a = 5.907 Å, b = 9.053 Å, c = 9.053 Å
α = 34.37°, β = 90.00°, γ = 90.00°
Fractional coordinates of all 8 atoms:
Gd: 0.000 0.000 0.000
Gd: 0.000 0.232 0.232
Mg: 0.252 0.415 0.415
Mg: 0.252 0.826 0.826
Mg: 0.748 0.415 0.415
Mg: 0.748 0.826 0.826
Ag: 0.000 0.553 0.553
Pt: 0.000 0.704 0.704



This record from the Open Quantum Materials Database describes a relaxed Tb2GdMg3AgPt2 crystal. The functional is PBE.

Its total DFT energy (no corrections) is -4.45 eV per atom. The crystal system is orthorhombic. The calculation puts the calculated volume at 199.4 Å³/f.u. Its space group is No. 38.

a = 4.038 Å, b = 7.554 Å, c = 7.554 Å
α = 120.06°, β = 90.00°, γ = 90.00°
Fractional coordinates of all 9 atoms:
Tb: 0.000 0.210 0.790
Tb: 0.000 0.790 0.210
Gd: 0.000 0.370 0.370
Mg: 0.500 0.042 0.042
Mg: 0.500 0.537 0.790
Mg: 0.500 0.790 0.537
Ag: 0.000 0.790 0.790
Pt: 0.500 0.122 0.457
Pt: 0.500 0.457 0.122



This record from the Open Quantum Materials Database describes a relaxed GdMgAgS3 crystal. The functional is PBE.

The crystal system is orthorhombic. The calculation puts the calculated volume at 126.6 Å³/f.u. For the polymorph energy (0 for the lowest one), the calculation gives 1.15 kcal/mol of atoms. Its space group is No. 63.

a = 6.555 Å, b = 6.555 Å, c = 10.646 Å
α = 90.00°, β = 90.00°, γ = 146.38°
Fractional coordinates of all 12 atoms:
Gd: 0.000 0.000 0.000
Gd: 0.000 0.000 0.500
Mg: 0.235 0.765 0.750
Mg: 0.765 0.235 0.250
Ag: 0.484 0.516 0.250
Ag: 0.516 0.484 0.750
S: 0.120 0.880 0.250
S: 0.353 0.647 0.075
S: 0.353 0.647 0.425
S: 0.647 0.353 0.575
S: 0.647 0.353 0.925
S: 0.880 0.120 0.750



This record from the Open Quantum Materials Database describes a relaxed GdMgAgS3 crystal. The functional is PBE.

The crystal system is monoclinic. The calculation puts the calculated volume at 136.6 Å³/f.u. For the polymorph energy (0 for the lowest one), the calculation gives 0.00 kcal/mol of atoms. Its space group is No. 11.

a = 8.085 Å, b = 3.891 Å, c = 8.864 Å
α = 90.00°, β = 101.64°, γ = 90.00°
Fractional coordinates of all 12 atoms:
Gd: 0.208 0.250 0.150
Gd: 0.792 0.750 0.850
Mg: 0.124 0.750 0.663
Mg: 0.876 0.250 0.337
Ag: 0.376 0.750 0.440
Ag: 0.624 0.250 0.560
S: 0.064 0.250 0.841
S: 0.184 0.250 0.482
S: 0.436 0.750 0.176
S: 0.564 0.250 0.824
S: 0.816 0.750 0.518
S: 0.936 0.750 0.159



This record from the Open Quantum Materials Database describes a relaxed GdMgAgSe2S crystal. The functional is PBE.

Its total DFT energy (no corrections) is -4.45 eV per atom. The crystal system is orthorhombic. The calculation puts the calculated volume at 135.8 Å³/f.u. Its space group is No. 63.

a = 6.779 Å, b = 6.779 Å, c = 10.704 Å
α = 90.00°, β = 90.00°, γ = 146.50°
Fractional coordinates of all 12 atoms:
Gd: 0.000 0.000 0.000
Gd: 0.000 0.000 0.500
Mg: 0.246 0.754 0.750
Mg: 0.754 0.246 0.250
Ag: 0.485 0.515 0.250
Ag: 0.515 0.485 0.750
Se: 0.348 0.652 0.073
Se: 0.348 0.652 0.427
Se: 0.652 0.348 0.573
Se: 0.652 0.348 0.927
S: 0.113 0.887 0.250
S: 0.887 0.113 0.750



> Number 2 is which compound?

Gd2Mg4AgPt



What did the fifth record say?
This record from the Open Quantum Materials Database describes a relaxed GdMgAgS3 crystal. The functional is PBE.

The crystal system is monoclinic. The calculation puts the calculated volume at 136.6 Å³/f.u. For the polymorph energy (0 for the lowest one), the calculation gives 0.00 kcal/mol of atoms. Its space group is No. 11.

a = 8.085 Å, b = 3.891 Å, c = 8.864 Å
α = 90.00°, β = 101.64°, γ = 90.00°
Fractional coordinates of all 12 atoms:
Gd: 0.208 0.250 0.150
Gd: 0.792 0.750 0.850
Mg: 0.124 0.750 0.663
Mg: 0.876 0.250 0.337
Ag: 0.376 0.750 0.440
Ag: 0.624 0.250 0.560
S: 0.064 0.250 0.841
S: 0.184 0.250 0.482
S: 0.436 0.750 0.176
S: 0.564 0.250 0.824
S: 0.816 0.750 0.518
S: 0.936 0.750 0.159



Copy entry 1 word for word.
This record from the Open Quantum Materials Database describes a relaxed Pr2GdMg3Ag3 crystal. The functional is PBE.

Its total DFT energy (no corrections) is -3.31 eV per atom. The crystal system is orthorhombic. The calculation puts the calculated volume at 224.7 Å³/f.u. Its space group is No. 38.

a = 4.299 Å, b = 7.776 Å, c = 7.776 Å
α = 120.17°, β = 90.00°, γ = 90.00°
Fractional coordinates of all 9 atoms:
Pr: 0.000 0.208 0.792
Pr: 0.000 0.792 0.208
Gd: 0.000 0.376 0.376
Mg: 0.500 0.035 0.035
Mg: 0.500 0.551 0.787
Mg: 0.500 0.787 0.551
Ag: 0.000 0.786 0.786
Ag: 0.500 0.131 0.456
Ag: 0.500 0.456 0.131